This record from the Alexandria database describes an optimized crystal structure of Tb6CeNd4. The functional is GGA-PBE.

Geometry as POSCAR:
```
Tb6CeNd4
1.0
7.489 -2.898 -5.475
-5.168 8.017 1.863
-1.868 2.898 9.087
Tb Ce Nd
6 1 4
Cartesian
-4.995 7.749 5.532 Tb
-3.798 5.892 8.152 Tb
-1.199 5.023 4.107 Tb
1.160 2.560 -1.806 Tb
3.409 0.268 -1.367 Tb
2.811 0.000 1.806 Tb
0.000 0.000 0.000 Ce
-3.314 5.141 1.331 Nd
0.287 2.876 1.907 Nd
-1.271 1.971 5.804 Nd
-2.285 8.944 7.382 Nd
```

## Properties
Energy relative to the elements (kJ per mole of atoms): 29.75